RbSb2O6 | the Alexandria database | PBE | relaxed; space-group type = P-3; offset from the most stable computed form = 305.0 kJ/mol of formula units
1.0
-1.0835 -2.5739 0.7612
2.4719 -2.8315 -6.0555
4.0722 0.0157 5.8492
Sb O Rb
2 6 1
Direct
0.2598 0.6667 0.3333 Sb
0.7402 0.3333 0.6667 Sb
0.7606 0.4436 0.2957 O
0.2394 0.1480 0.4436 O
0.7606 0.8520 0.5564 O
0.7606 0.7043 0.1480 O
0.2394 0.5564 0.7043 O
0.2394 0.2957 0.8520 O
0.5000 0.0000 0.0000 Rb

---

Rb4SbO | the Alexandria database | PBE | relaxed; space-group type = C2/c
1.0
7.4230 -2.0093 0.0000
-4.4083 10.5118 0.0000
-1.5074 -4.2513 6.9100
Rb Sb O
8 2 2
Direct
0.4049 0.9510 0.7426 Rb
0.5951 0.0490 0.2574 Rb
0.7021 0.3720 0.1781 Rb
0.8378 0.7916 0.7426 Rb
0.1622 0.2084 0.2574 Rb
0.2979 0.6280 0.8219 Rb
0.9760 0.8061 0.1781 Rb
0.0240 0.1939 0.8219 Rb
0.3989 0.6489 0.2979 Sb
0.6011 0.3511 0.7021 Sb
0.7233 0.9733 0.9465 O
0.2767 0.0267 0.0535 O

---

Rb4Sb2O5 | the Alexandria database | PBE | relaxed; space-group type = Pnma
1.0
-5.4283 -3.8866 -0.4500
4.4225 -5.6920 -4.1877
4.7886 -8.6318 16.7895
O Rb Sb
20 16 8
Direct
0.4717 0.8775 0.5995 O
0.5282 0.8720 0.9015 O
0.5282 0.6280 0.4015 O
0.4718 0.1280 0.0985 O
0.9718 0.8720 0.9015 O
0.7500 0.6257 0.8099 O
0.9717 0.3775 0.9005 O
0.0283 0.6225 0.0995 O
0.7500 0.8743 0.3099 O
0.2500 0.1257 0.6901 O
0.0282 0.3720 0.5985 O
0.4717 0.6225 0.0995 O
0.5283 0.1225 0.4005 O
0.5283 0.3775 0.9005 O
0.4718 0.3720 0.5985 O
0.0282 0.1280 0.0985 O
0.9717 0.1225 0.4005 O
0.2500 0.3743 0.1901 O
0.0283 0.8775 0.5995 O
0.9718 0.6280 0.4015 O
0.2500 0.3761 0.0116 Rb
0.2500 0.1239 0.5116 Rb
0.7500 0.1261 0.9877 Rb
0.7500 0.6251 0.6566 Rb
0.7500 0.3749 0.1569 Rb
0.7500 0.6239 0.9884 Rb
0.7500 0.8749 0.1566 Rb
0.7500 0.8761 0.4884 Rb
0.2500 0.6251 0.8431 Rb
0.2500 0.8739 0.0123 Rb
0.7500 0.1251 0.6569 Rb
0.7500 0.3739 0.4877 Rb
0.2500 0.1251 0.8434 Rb
0.2500 0.6261 0.5123 Rb
0.2500 0.8749 0.3431 Rb
0.2500 0.3749 0.3434 Rb
0.2500 0.1362 0.1629 Sb
0.7500 0.8638 0.8371 Sb
0.7500 0.6362 0.3371 Sb
0.7500 0.3869 0.8362 Sb
0.7500 0.1131 0.3362 Sb
0.2500 0.3638 0.6629 Sb
0.2500 0.6131 0.1638 Sb
0.2500 0.8869 0.6638 Sb

---

RbSbO | the Alexandria database | PBE | relaxed; space-group type = C2/m
1.0
3.3895 0.0000 0.0000
1.6948 6.4519 0.3360
1.6948 2.0105 7.3149
Sb Rb O
2 2 2
Direct
0.2595 0.3352 0.1458 Sb
0.7405 0.6648 0.8542 Sb
0.0615 0.2165 0.6605 Rb
0.9385 0.7835 0.3395 Rb
0.6623 0.3440 0.3314 O
0.3377 0.6560 0.6686 O

---

| no. | E_form (uncorrected) (eV/atom) |
| --- | --- |
| 1 | -1.01 |
| 2 | -0.54 |
| 3 | -1.52 |
| 4 | -0.87 |